Record 1
The following is a DFT calculation (PBE) of LiDyNiRh after structural relaxation.

Summary:
formation energy	-334	meV per atom
DOS(E_F)	1.498	states/eV per cell

Cell lengths 4.5170, 4.5170, 4.5170 Å; angles 60.00, 60.00, 60.00 degrees
Element x y z (fractional)
Ni  0.2500  0.2500  0.2500
Rh  0.7500  0.7500  0.7500
Dy  0.0000  0.0000  0.0000
Li  0.5000  0.5000  0.5000



Record 2
The following is a DFT calculation (PBE) of Pu8Te4AsSe3 after structural relaxation.

Summary:
E_form (uncorrected)	-1.213	eV per atom
DOS(E_F)	90.695	states/eV per cell

Cell lengths 8.5498, 8.6022, 8.5501 Å; angles 119.80, 120.00, 90.00 degrees
Site moments in Bohr magnetons follow the coordinates.
Element x y z (fractional)
Te  0.5000  0.0000  0.5000  -0.03
Pu  0.7436  0.7307  0.4871  -5.35
Pu  0.7452  0.7273  0.9862  5.35
Pu  0.2411  0.7273  0.9862  5.35
Te  0.0000  0.0000  0.5000  -0.03
Te  0.5000  0.0000  0.0000  -0.12
Se  0.5000  0.5000  0.5000  -0.03
Pu  0.7589  0.2727  0.5178  5.35
Pu  0.2564  0.2693  0.5129  -5.35
Te  0.0000  0.0000  0.0000  -0.03
Pu  0.2548  0.2727  0.0138  5.35
As  0.0000  0.5000  0.0000  -0.14
Pu  0.7589  0.2727  0.0138  5.35
Se  0.5000  0.5000  0.0000  -0.03
Pu  0.2411  0.7273  0.4822  5.35
Se  0.0000  0.5000  0.5000  -0.03



Record 3
The following is a DFT calculation (PBE) of LiTc2Au after structural relaxation.

Summary:
formation energy	102	meV per atom
DOS(E_F)	3.457	states/eV per cell

Cell lengths 3.7990, 2.8088, 6.1924 Å; angles 66.59, 90.00, 90.00 degrees
Element x y z (fractional)
Tc  0.5000  0.2339  0.2131
Li  0.5000  0.7837  0.7374
Tc  0.0000  0.0021  0.0219
Au  0.0000  0.4803  0.5276



Record 4
The following is a DFT calculation (PBE) of BaP2Os2 after structural relaxation.

Summary:
formation energy	-670	meV per atom
DOS(E_F)	1.904	states/eV per cell

Cell lengths 4.0764, 4.0764, 6.7871 Å; angles 107.47, 107.47, 89.99 degrees
Element x y z (fractional)
Os  0.7500  0.2500  0.5000
P  0.3447  0.3447  0.6894
Ba  0.0000  0.0000  0.0000
Os  0.2500  0.7500  0.5000
P  0.6553  0.6553  0.3106



Record 5
The following is a DFT calculation (PBE) of NaTl8Pb3 after structural relaxation.

Summary:
formation energy	106	meV per atom
DOS(E_F)	8.308	states/eV per cell

Cell lengths 8.3629, 8.3629, 6.8863 Å; angles 90.00, 90.00, 120.00 degrees
Element x y z (fractional)
Tl  0.3309  0.3309  0.7715
Tl  0.0000  0.6691  0.7715
Pb  0.3333  0.6667  0.0000
Pb  0.0000  0.0000  0.0000
Tl  0.6691  0.6691  0.2285
Tl  0.3333  0.6667  0.5000
Tl  0.0000  0.3309  0.2285
Pb  0.6667  0.3333  0.0000
Tl  0.6691  0.0000  0.7715
Tl  0.3309  0.0000  0.2285
Tl  0.6667  0.3333  0.5000
Na  0.0000  0.0000  0.5000



Record 6
The following is a DFT calculation (PBE) of K2Ge2Pd3 after structural relaxation.

Summary:
formation energy	-351	meV per atom
DOS(E_F)	2.888	states/eV per cell

Cell lengths 4.1400, 6.6110, 7.8785 Å; angles 121.03, 90.00, 108.25 degrees
Element x y z (fractional)
Ge  0.8826  0.7652  0.7722
Pd  0.6636  0.3271  0.4236
K  0.8584  0.7167  0.2461
Pd  0.5000  0.0000  0.0000
Ge  0.1174  0.2348  0.2278
K  0.1416  0.2833  0.7539
Pd  0.3364  0.6729  0.5764



Record 7
The following is a DFT calculation (PBE) of Na5AsS4F2 after structural relaxation.

Summary:
E_form (uncorrected)	-1.391	eV per atom
DOS(E_F)	0.000	states/eV per cell

Cell lengths 6.2687, 6.2895, 7.4586 Å; angles 90.00, 90.00, 119.89 degrees
Element x y z (fractional)
As  0.4315  0.0000  0.0000
S  0.6244  0.0000  0.7533
S  0.3838  0.3222  0.0000
Na  0.1232  0.4256  0.7151
Na  0.6976  0.5744  0.7151
Na  0.6976  0.5744  0.2849
Na  0.2985  0.0000  0.5000
S  0.6244  0.0000  0.2467
Na  0.1232  0.4256  0.2849
F  0.9774  0.6151  0.5000
F  0.3622  0.3849  0.5000
S  0.0616  0.6778  0.0000



Record 8
The following is a DFT calculation (PBE) of Dy2GaHg2 after structural relaxation.

Summary:
formation energy	-462	meV per atom
DOS(E_F)	6.570	states/eV per cell

Cell lengths 4.3855, 5.9861, 10.2372 Å; angles 89.52, 77.63, 68.51 degrees
Element x y z (fractional)
Dy  0.3277  0.6768  0.6678
Hg  0.0967  0.2528  0.5539
Dy  0.9226  0.2616  0.8932
Hg  0.9033  0.7472  0.4461
Hg  0.3452  0.1966  0.1129
Dy  0.6723  0.3232  0.3322
Ga  0.3948  0.8923  0.3181
Hg  0.6548  0.8034  0.8871
Ga  0.6052  0.1077  0.6819
Dy  0.0774  0.7384  0.1068



Record 9
The following is a DFT calculation (PBE) of PuInGe2Pd5 after structural relaxation.

Summary:
formation energy	-397	meV per atom
DOS(E_F)	19.304	states/eV per cell

Cell lengths 4.5131, 4.5131, 8.2172 Å; angles 90.00, 90.00, 90.00 degrees
Site moments in Bohr magnetons follow the coordinates.
Element x y z (fractional)
Ge  0.5000  0.5000  0.1482  -0.01
Pu  0.0000  0.0000  0.5000  5.04
Pd  0.5000  0.5000  0.5000  0.00
Pd  0.0000  0.5000  0.7324  -0.03
In  0.0000  0.0000  0.0000  -0.01
Ge  0.5000  0.5000  0.8518  -0.01
Pd  0.5000  0.0000  0.2676  -0.03
Pd  0.5000  0.0000  0.7324  -0.03
Pd  0.0000  0.5000  0.2676  -0.03



Record 10
The following is a DFT calculation (PBE) of Ce2ZrSe5 after structural relaxation.

Summary:
E_form (uncorrected)	-1.655	eV per atom
DOS(E_F)	51.368	states/eV per cell

Cell lengths 7.7057, 8.4087, 12.0590 Å; angles 90.00, 90.00, 90.00 degrees
Site moments in Bohr magnetons follow the coordinates.
Element x y z (fractional)
Se  0.6724  0.0387  0.5826  -0.02
Ce  0.0439  0.0017  0.6756  0.92
Se  0.6533  0.2500  0.3128  -0.02
Se  0.3261  0.2500  0.7102  -0.02
Ce  0.9561  0.9983  0.3244  0.92
Se  0.8467  0.2500  0.8128  -0.02
Se  0.0506  0.2500  0.4958  -0.03
Se  0.3276  0.5387  0.4174  -0.02
Ce  0.4561  0.4983  0.1756  0.92
Se  0.3467  0.7500  0.6872  -0.02
Zr  0.4207  0.2500  0.4917  0.06
Se  0.4494  0.2500  0.9958  -0.03
Se  0.1533  0.7500  0.1872  -0.02
Ce  0.5439  0.9983  0.8244  0.92
Se  0.8276  0.0387  0.0826  -0.02
Zr  0.5793  0.7500  0.5083  0.06
Se  0.8276  0.4613  0.0826  -0.02
Se  0.1724  0.5387  0.9174  -0.02
Se  0.9494  0.7500  0.5042  -0.03
Se  0.5506  0.7500  0.0042  -0.03
Ce  0.5439  0.5017  0.8244  0.92
Se  0.3276  0.9613  0.4174  -0.02
Se  0.6739  0.7500  0.2898  -0.02
Se  0.1739  0.2500  0.2102  -0.02
Ce  0.9561  0.5017  0.3244  0.92
Zr  0.0793  0.2500  0.9917  0.06
Se  0.8261  0.7500  0.7898  -0.02
Ce  0.4561  0.0017  0.1756  0.92
Se  0.6724  0.4613  0.5826  -0.02
Ce  0.0439  0.4983  0.6756  0.92
Se  0.1724  0.9613  0.9174  -0.02
Zr  0.9207  0.7500  0.0083  0.06



Record 11
The following is a DFT calculation (PBE) of NdTh4Te5 after structural relaxation.

Summary:
E_form (uncorrected)	-1.140	eV per atom
DOS(E_F)	7.851	states/eV per cell

Cell lengths 3.8569, 3.8569, 19.2839 Å; angles 90.00, 90.00, 90.00 degrees
Element x y z (fractional)
Nd  0.0000  0.0000  0.0000
Te  0.5000  0.5000  0.1019
Th  0.0000  0.0000  0.4000
Te  0.5000  0.5000  0.6998
Th  0.0000  0.0000  0.6000
Th  0.0000  0.0000  0.8003
Th  0.0000  0.0000  0.1997
Te  0.5000  0.5000  0.5000
Te  0.5000  0.5000  0.3002
Te  0.5000  0.5000  0.8981



Record 12
The following is a DFT calculation (PBE) of NaPa2Br8 after structural relaxation.

Summary:
E_form (uncorrected)	-1.280	eV per atom
DOS(E_F)	16.643	states/eV per cell

Cell lengths 5.8209, 9.4832, 9.4838 Å; angles 120.00, 90.00, 90.00 degrees
Site moments in Bohr magnetons follow the coordinates.
Element x y z (fractional)
Br  0.2503  0.6669  0.8326  -0.02
Br  0.2564  0.6666  0.3333  -0.02
Br  0.2502  0.1657  0.3331  -0.02
Br  0.7436  0.3334  0.6667  -0.02
Pa  0.7592  0.6666  0.3333  1.44
Pa  0.2408  0.3334  0.6667  1.44
Br  0.7497  0.3331  0.1674  -0.02
Na  0.0000  0.0000  0.0000  0.00
Br  0.2503  0.1674  0.8343  -0.02
Br  0.7498  0.8342  0.6669  -0.02
Br  0.7497  0.8326  0.1657  -0.02